Here is a geometry-optimized TbSm3H structure from Alexandria via LeMat-Bulk. Energies are from GGA-PBE.

Output
Total magnetic moment = 0.00 Bohr magnetons per cell
E_tot = -4.5973 eV/atom
ρ = 7.71 g/cm3

Cell lengths 5.086, 5.086, 5.086 Å; angles 90.00, 90.00, 90.00 degrees
Space group Pm-3m (No. 221)
Symmetry-distinct sites (fractional):
Tb: 0.000 0.000 0.000 x1
Sm: 0.000 0.500 0.500 x3
H: 0.500 0.500 0.500 x1